Compound: LiTlAgSb
Source: Alexandria
Functional: PBE
Structure: optimized geometry

Geometry as POSCAR:
```
LiTlAgSb
1.0
-5.0071 -0.5798 -0.2890
-2.3405 -3.2843 3.0375
-2.9553 1.6784 3.7336
Sb Tl Ag Li
1 1 1 1
direct
0.5000 0.5000 0.5000 Sb
0.0000 0.0000 0.0000 Tl
0.7500 0.7500 0.7500 Ag
0.2500 0.2500 0.2500 Li
```

DFT total energy: -11.873 eV/f.u.
space-group type: F-43m, No. 216
raw formation energy: -0.155 eV per atom
magnetization: 0.00 μB per cell